# 1
First-principles (GGA-PBE) data for a relaxed Dy2TmScSe4 crystal, as listed in Alexandria via LeMat-Bulk.

Cell lengths 6.9395, 3.9719, 7.0154 Å; angles 90.00, 108.95, 90.00 degrees
Atoms (fractional coordinates):
1 Dy 0.0000 0.0000 0.0000
2 Dy 0.5000 0.5000 0.0000
3 Tm 0.0000 0.5000 0.5000
4 Sc 0.5000 0.0000 0.5000
5 Se 0.2514 0.0000 0.7411
6 Se 0.2583 0.5000 0.2620
7 Se 0.7417 0.5000 0.7380
8 Se 0.7486 0.0000 0.2589

**DOS(E_F)**: 4.84 states/eV/f.u.
**Symmetry**: P2/m (10)
**Calculated total energy**: -5.92 eV per atom
**Magnetization**: 0.0 μB/cell

# 2
First-principles (GGA-PBE) data for a relaxed DyTmSc2Se4 crystal, as listed in Alexandria via LeMat-Bulk.

Cell lengths 6.8630, 3.9367, 6.8944 Å; angles 90.00, 109.14, 90.00 degrees
Atoms (fractional coordinates):
1 Dy 0.0000 0.0000 0.0000
2 Tm 0.0000 0.5000 0.5000
3 Sc 0.5000 0.0000 0.5000
4 Sc 0.5000 0.5000 0.0000
5 Se 0.2615 0.0000 0.7512
6 Se 0.2635 0.5000 0.2572
7 Se 0.7365 0.5000 0.7428
8 Se 0.7385 0.0000 0.2488

**DOS(E_F)**: 5.08 states/eV/f.u.
**Symmetry**: P2/m (10)
**Calculated total energy**: -6.10 eV per atom
**Magnetization**: 0.0 μB/cell

# 3
First-principles (GGA-PBE) data for a relaxed Dy4Tm3ScSe8 crystal, as listed in Alexandria via LeMat-Bulk.

Cell lengths 8.0868, 8.0868, 8.0868 Å; angles 59.62, 59.62, 59.62 degrees
Atoms (fractional coordinates):
1 Dy 0.0000 0.0000 0.0000
2 Dy 0.0000 0.5000 0.5000
3 Dy 0.5000 0.0000 0.5000
4 Dy 0.5000 0.5000 0.0000
5 Tm 0.0000 0.0000 0.5000
6 Tm 0.0000 0.5000 0.0000
7 Tm 0.5000 0.0000 0.0000
8 Sc 0.5000 0.5000 0.5000
9 Se 0.2480 0.2480 0.2480
10 Se 0.2513 0.7448 0.7448
11 Se 0.2552 0.2552 0.7487
12 Se 0.2552 0.7487 0.2552
13 Se 0.7448 0.2513 0.7448
14 Se 0.7448 0.7448 0.2513
15 Se 0.7487 0.2552 0.2552
16 Se 0.7520 0.7520 0.7520

**DOS(E_F)**: 10.71 states/eV/f.u.
**Symmetry**: R-3m (166)
**Calculated total energy**: -5.82 eV per atom
**Magnetization**: 0.0 μB/cell

# 4
First-principles (GGA-PBE) data for a relaxed Dy3Tm2ScSe6 crystal, as listed in Alexandria via LeMat-Bulk.

Cell lengths 9.0031, 9.0031, 8.0846 Å; angles 103.43, 103.43, 25.75 degrees
Atoms (fractional coordinates):
1 Dy 0.0000 0.0000 0.0000
2 Dy 0.3317 0.3317 0.6646
3 Dy 0.6683 0.6683 0.3355
4 Tm 0.3344 0.3344 0.1686
5 Tm 0.6656 0.6656 0.8314
6 Sc 0.0000 0.0000 0.5000
7 Se 0.1622 0.1622 0.5848
8 Se 0.1681 0.1681 0.0802
9 Se 0.4999 0.4999 0.2597
10 Se 0.5001 0.5001 0.7403
11 Se 0.8319 0.8319 0.9198
12 Se 0.8378 0.8378 0.4152

**DOS(E_F)**: 5.66 states/eV/f.u.
**Symmetry**: C2/m (12)
**Calculated total energy**: -5.86 eV per atom
**Magnetization**: 0.0 μB/cell

# 5
First-principles (GGA-PBE) data for a relaxed Dy2Y3ScSe6 crystal, as listed in Alexandria via LeMat-Bulk.

Cell lengths 9.0474, 9.0474, 8.1311 Å; angles 103.01, 103.01, 25.81 degrees
Atoms (fractional coordinates):
1 Dy 0.1666 0.1666 0.3328
2 Dy 0.8334 0.8334 0.6672
3 Y 0.1697 0.1697 0.8351
4 Y 0.5000 0.5000 0.5000
5 Y 0.8303 0.8303 0.1649
6 Sc 0.5000 0.5000 0.0000
7 Se 0.0012 0.0012 0.7611
8 Se 0.3334 0.3334 0.4174
9 Se 0.3389 0.3389 0.9189
10 Se 0.6611 0.6611 0.0811
11 Se 0.6666 0.6666 0.5826
12 Se 0.9988 0.9988 0.2389

**DOS(E_F)**: 6.05 states/eV/f.u.
**Symmetry**: C2/m (12)
**Calculated total energy**: -6.38 eV per atom
**Magnetization**: 0.0 μB/cell

# 6
First-principles (GGA-PBE) data for a relaxed DyY2Sc3Se6 crystal, as listed in Alexandria via LeMat-Bulk.

Cell lengths 6.8886, 6.8886, 6.9162 Å; angles 99.51, 99.51, 120.24 degrees
Atoms (fractional coordinates):
1 Dy 0.0000 0.0000 0.0000
2 Y 0.3332 0.6668 0.0000
3 Y 0.6668 0.3332 0.0000
4 Sc 0.1679 0.8321 0.5000
5 Sc 0.5000 0.5000 0.5000
6 Sc 0.8321 0.1679 0.5000
7 Se 0.0887 0.4211 0.2657
8 Se 0.2436 0.2436 0.7335
9 Se 0.4211 0.0887 0.2657
10 Se 0.5789 0.9113 0.7343
11 Se 0.7564 0.7564 0.2665
12 Se 0.9113 0.5789 0.7343

**DOS(E_F)**: 6.45 states/eV/f.u.
**Symmetry**: C2/m (12)
**Calculated total energy**: -6.46 eV per atom
**Magnetization**: 0.0 μB/cell